DFT (PBE-GGA) results for crystalline PrPuSb at its relaxed geometry.

Cell and atoms, written as extended XYZ:
```
3
Lattice="-3.268 2.413 -0.751 -1.648 -2.966 -2.357 0.125 -1.628 5.583" Properties=species:S:1:pos:R:3 pbc="T T T"
Pr -1.265 -1.033 2.184
Sb -2.998 -0.718 -0.621
Pu -4.619 -2.041 2.177
```

DFT (PBE-GGA) results for crystalline PrPuSb2 at its relaxed geometry.

Cell and atoms, written as extended XYZ:
```
4
Lattice="-0.503 2.062 3.927 3.004 -0.614 3.244 4.827 6.377 -0.192" Properties=species:S:1:pos:R:3 pbc="T T T"
Pr 3.692 3.954 3.472
Pu 6.468 7.304 4.606
Sb 3.881 4.981 0.420
Sb 1.777 1.876 1.780
```

relative energy among the computed polymorphs = 0.104 eV per atom

DFT (PBE-GGA) results for crystalline Pr5PuSb4 at its relaxed geometry.

Cell and atoms, written as extended XYZ:
```
10
Lattice="-1.207 -1.204 -4.099 -7.739 -2.715 3.076 -0.750 9.901 -0.283" Properties=species:S:1:pos:R:3 pbc="T T T"
Pr -6.536 3.717 -1.571
Pr -2.829 5.179 -3.092
Pr -6.866 0.803 1.786
Pr -4.473 -1.959 -0.511
Pr -3.159 2.265 0.265
Pu -0.604 -0.602 -2.050
Sb -7.946 3.711 1.250
Sb -7.758 6.559 -2.046
Sb -1.749 2.271 -2.556
Sb -1.937 -0.577 0.740
```

DFT (PBE-GGA) results for crystalline Pr2PuSb at its relaxed geometry.

Cell and atoms, written as extended XYZ:
```
4
Lattice="4.699 0.000 0.000 0.000 4.996 0.000 0.000 0.000 4.996" Properties=species:S:1:pos:R:3 pbc="T T T"
Pr 0.000 0.000 2.498
Pr 0.000 2.498 0.000
Sb 2.349 2.498 2.498
Pu 2.349 0.000 0.000
```

relative energy among the computed polymorphs = 0.000 eV per atom

DFT (PBE-GGA) results for crystalline PrPuSb2 at its relaxed geometry.

Cell and atoms, written as extended XYZ:
```
4
Lattice="3.345 0.000 0.000 0.000 5.814 0.000 0.000 0.000 5.814" Properties=species:S:1:pos:R:3 pbc="T T T"
Pr 1.672 0.000 0.000
Sb 0.000 0.000 2.907
Sb 0.000 2.907 0.000
Pu 1.672 2.907 2.907
```

relative energy among the computed polymorphs = 0.137 eV per atom

DFT (PBE-GGA) results for crystalline Pr3PuSb4 at its relaxed geometry.

Cell and atoms, written as extended XYZ:
```
8
Lattice="6.405 0.000 0.000 0.000 6.405 0.000 0.000 0.000 6.405" Properties=species:S:1:pos:R:3 pbc="T T T"
Pr 0.000 3.203 3.203
Pr 3.203 0.000 3.203
Pr 3.203 3.203 0.000
Sb 3.203 0.000 0.000
Sb 0.000 3.203 0.000
Sb 0.000 0.000 3.203
Sb 3.203 3.203 3.203
Pu 0.000 0.000 0.000
```

relative energy among the computed polymorphs = 0.005 eV per atom

Number 1: electronic total energy -24.71 eV/f.u., ΔE_f (raw) -47.6 kJ/mol of atoms, magnetization 6.46 μB per cell. Number 2: electronic total energy -30.49 eV/f.u., ΔE_f (raw) -75.6 kJ/mol of atoms, magnetization 5.03 μB per cell. Number 3: electronic total energy -61.66 eV/f.u., ΔE_f (raw) -67.0 kJ/mol of atoms, magnetization 5.79 μB per cell. Number 4: electronic total energy -29.77 eV/f.u., ΔE_f (raw) -42.5 kJ/mol of atoms, magnetization 6.62 μB per cell. Number 5: electronic total energy -30.36 eV/f.u., ΔE_f (raw) -72.4 kJ/mol of atoms, magnetization 5.69 μB per cell. Number 6: electronic total energy -53.38 eV/f.u., ΔE_f (raw) -99.2 kJ/mol of atoms, magnetization 5.06 μB per cell.